1.
This record from Alexandria describes a relaxed structure of Na3CeMn2Se6. The functional is PBE-GGA.

Cell lengths 6.8245, 6.8245, 7.3831 Å; angles 98.92, 98.92, 120.07 degrees
Closest atoms and distances in Å follow each position.
Atoms (fractional coordinates):
Se: 0.7164 0.7164 0.2164  2 Mn 2.68, 1 Ce 2.86, 1 Na 2.91
Se: 0.5708 0.9270 0.7835  2 Mn 2.67, 1 Ce 2.87, 1 Na 2.94
Ce: 0.0000 0.0000 0.0000  6 Se 2.86-2.87
Mn: 0.3326 0.6674 0.0000  6 Se 2.67-2.68
Mn: 0.6674 0.3326 0.0000  6 Se 2.67-2.68
Se: 0.0730 0.4292 0.2165  2 Mn 2.67, 1 Ce 2.87, 1 Na 2.94
Na: 0.8385 0.1615 0.5000  6 Se 2.94-3.09
Na: 0.5000 0.5000 0.5000  6 Se 2.91-3.08
Se: 0.9270 0.5708 0.7835  2 Mn 2.67, 1 Ce 2.87, 1 Na 2.94
Na: 0.1615 0.8385 0.5000  6 Se 2.94-3.09
Se: 0.2836 0.2836 0.7836  2 Mn 2.68, 1 Ce 2.86, 1 Na 2.91
Se: 0.4292 0.0730 0.2165  2 Mn 2.67, 1 Ce 2.87, 1 Na 2.94

## Properties
**Crystal system**: monoclinic
**Size of the total moment**: 0.7512 μB per atom
**Electronic total energy**: -0.37628 Ry/atom
**Theoretical density**: 4.7 g/cm³
**Space group**: C2/m


2.
This record from Alexandria describes a relaxed structure of Na3Ce2MnSe6. The functional is PBE-GGA.

Cell lengths 7.1868, 7.1868, 7.3578 Å; angles 99.37, 99.37, 120.03 degrees
Closest atoms and distances in Å follow each position.
Atoms (fractional coordinates):
Mn: 0.0000 0.0000 0.0000  6 Se 2.78-2.79
Ce: 0.6666 0.3334 0.0000  6 Se 2.91
Se: 0.6039 0.9241 0.7721  1 Mn 2.79, 2 Ce 2.91, 3 Na 3.02-3.12
Se: 0.3961 0.0759 0.2279  1 Mn 2.79, 2 Ce 2.91, 3 Na 3.02-3.12
Ce: 0.3334 0.6666 0.0000  6 Se 2.91
Se: 0.0759 0.3961 0.2279  1 Mn 2.79, 2 Ce 2.91, 3 Na 3.02-3.12
Se: 0.2439 0.2439 0.7735  1 Mn 2.78, 2 Ce 2.91, 2 Na 3.03
Se: 0.7561 0.7561 0.2265  1 Mn 2.78, 2 Ce 2.91, 2 Na 3.03
Na: 0.8326 0.1674 0.5000  6 Se 3.02-3.12
Na: 0.1674 0.8326 0.5000  6 Se 3.02-3.12
Se: 0.9241 0.6039 0.7721  1 Mn 2.79, 2 Ce 2.91, 3 Na 3.02-3.12
Na: 0.5000 0.5000 0.5000  6 Se 3.02-3.14

## Properties
**Crystal system**: monoclinic
**Size of the total moment**: 0.5013 μB per atom
**Electronic total energy**: -0.37959 Ry/atom
**Theoretical density**: 4.7 g/cm³
**Space group**: C2/m


3.
This record from Alexandria describes a relaxed structure of Na4Ce3MnSe8. The functional is PBE-GGA.

Cell lengths 8.3938, 8.4743, 8.3945 Å; angles 119.70, 120.00, 90.00 degrees
Closest atoms and distances in Å follow each position.
Atoms (fractional coordinates):
Se: 0.7461 0.7381 0.4921  3 Ce 2.93, 3 Na 3.03
Ce: 0.5000 0.5000 0.5000  6 Se 2.93
Se: 0.7634 0.2731 0.5268  1 Mn 2.82, 2 Ce 2.93, 3 Na 3.05-3.14
Se: 0.2365 0.7268 0.9904  1 Mn 2.82, 2 Ce 2.93, 3 Na 3.05-3.15
Se: 0.2539 0.2619 0.5079  3 Ce 2.93, 3 Na 3.03
Se: 0.7635 0.2732 0.0096  1 Mn 2.82, 2 Ce 2.93, 3 Na 3.05-3.15
Se: 0.2461 0.2732 0.0096  1 Mn 2.82, 2 Ce 2.93, 3 Na 3.05-3.15
Mn: 0.0000 0.5000 0.0000  6 Se 2.82
Ce: 0.5000 0.5000 0.0000  6 Se 2.93
Na: 0.0000 0.0000 0.0000  6 Se 3.03-3.05
Se: 0.2366 0.7269 0.4732  1 Mn 2.82, 2 Ce 2.93, 3 Na 3.05-3.14
Na: 0.5000 0.0000 0.5000  6 Se 3.03-3.05
Se: 0.7539 0.7268 0.9904  1 Mn 2.82, 2 Ce 2.93, 3 Na 3.05-3.15
Ce: 0.0000 0.5000 0.5000  6 Se 2.93
Na: 0.0000 0.0000 0.5000  6 Se 3.03-3.05
Na: 0.5000 0.0000 0.0000  6 Se 3.14-3.15

## Properties
**Crystal system**: trigonal
**Size of the total moment**: 0.4381 μB per atom
**Electronic total energy**: -0.37967 Ry/atom
**Theoretical density**: 4.7 g/cm³
**Space group**: R-3m


4.
This record from Alexandria describes a relaxed structure of Ce2MnNb. The functional is PBE-GGA.

Cell lengths 3.0054, 3.0054, 10.2760 Å; angles 81.59, 81.59, 60.00 degrees
Closest atoms and distances in Å follow each position.
Atoms (fractional coordinates):
Mn: 0.5000 0.5000 0.5000  6 Ce 2.78, 6 Mn 3.01
Ce: 0.9050 0.9050 0.2850  3 Mn 2.78, 1 Nb 2.89, 6 Ce 3.01
Ce: 0.0950 0.0950 0.7150  3 Mn 2.78, 1 Nb 2.89, 6 Ce 3.01
Nb: 0.0000 0.0000 0.0000  2 Ce 2.89, 6 Nb 3.01

## Properties
**Crystal system**: trigonal
**Size of the total moment**: 0.0002 μB per atom
**Electronic total energy**: -0.52913 Ry/atom
**Theoretical density**: 9.0 g/cm³
**Formation energy**: 578 meV per atom
**Space group**: R-3m


5.
This record from Alexandria describes a relaxed structure of CeMnNbP2. The functional is PBE-GGA.

Cell lengths 3.8302, 3.8302, 6.5940 Å; angles 106.88, 106.88, 90.00 degrees
Closest atoms and distances in Å follow each position.
Atoms (fractional coordinates):
Mn: 0.7500 0.2500 0.5000  4 P 2.47, 4 Nb 2.71
Ce: 0.0000 0.0000 0.0000  8 P 3.07
P: 0.6201 0.6201 0.2401  2 Mn 2.47, 2 Nb 2.47
Nb: 0.2500 0.7500 0.5000  4 P 2.47, 4 Mn 2.71
P: 0.3799 0.3799 0.7599  2 Mn 2.47, 2 Nb 2.47

## Properties
**Crystal system**: tetragonal
**Size of the total moment**: 0.4799 μB per atom
**Electronic total energy**: -0.59162 Ry/atom
**Theoretical density**: 6.6 g/cm³
**Formation energy**: -851 meV per atom
**Space group**: I-4m2


6.
This record from Alexandria describes a relaxed structure of CeNdMnZn. The functional is PBE-GGA.

Cell lengths 5.1205, 5.1205, 5.1205 Å; angles 60.00, 60.00, 60.00 degrees
Closest atoms and distances in Å follow each position.
Atoms (fractional coordinates):
Nd: 0.2500 0.2500 0.2500  4 Mn 3.14, 4 Zn 3.14
Ce: 0.7500 0.7500 0.7500  4 Mn 3.14, 4 Zn 3.14
Zn: 0.0000 0.0000 0.0000  4 Nd 3.14, 4 Ce 3.14
Mn: 0.5000 0.5000 0.5000  4 Ce 3.14, 4 Nd 3.14

## Properties
**Crystal system**: cubic
**Size of the total moment**: 0.4984 μB per atom
**Electronic total energy**: -0.38508 Ry/atom
**Theoretical density**: 7.1 g/cm³
**Formation energy**: 47 meV per atom
**Space group**: F-43m


What is the formula in the second record? Na3Ce2MnSe6


The highest theoretical density belongs to which entry? Ce2MnNb


Among the records above, which one has the highest size of the total moment? Na3CeMn2Se6